(1)
Entry from Alexandria via LeMat-Bulk: a crystal of Te2RhSe relaxed with PBEsol (meta-GGA SCAN).

Output
formation energy from raw total energies = -0.21 eV/atom
E = -129.185 eV per formula unit
M_tot = 0.00 μB per cell

abc: 6.8286 3.7014 7.2395
angles: 90.00 102.66 90.00
Last column: nearest neighbours and their distance in Å.
Space group C2/m (No. 12)
Asymmetric unit:
Te  0.2219  0.0000  0.2073 x4  3 Rh 2.64-2.67, 1 Se 2.86
Rh  0.0000  0.5000  0.0000 x2  6 Te 2.64-2.67
Se  0.0000  0.0000  0.5000 x2  6 Te 2.86-3.12

***

(2)
Entry from Alexandria via LeMat-Bulk: a crystal of Pr2CuIr relaxed with PBEsol (meta-GGA SCAN).

Output
calculated formation energy = -0.472 eV per atom
E = -174.838 eV per formula unit
M_tot = 0.00 μB per cell

abc: 7.0589 7.0589 7.0589
angles: 90.00 90.00 90.00
Last column: nearest neighbours and their distance in Å.
Space group Fm-3m (No. 225)
Asymmetric unit:
Pr  0.2500  0.2500  0.2500 x8  4 Cu 3.06, 4 Ir 3.06
Cu  0.0000  0.0000  0.0000 x4  8 Pr 3.06
Ir  0.0000  0.0000  0.5000 x4  8 Pr 3.06

***

(3)
Entry from Alexandria via LeMat-Bulk: a crystal of LaBe2Si2 relaxed with PBEsol (meta-GGA SCAN).

Output
formation energy from raw total energies = -0.38 eV/atom
E = -73.731 eV per formula unit
M_tot = 0.00 μB per cell

abc: 4.0016 4.0016 9.7602
angles: 90.00 90.00 90.00
Last column: nearest neighbours and their distance in Å.
Space group I4/mmm (No. 139)
Asymmetric unit:
La  0.0000  0.0000  0.0000 x2  8 Si 3.09, 8 Be 3.16
Be  0.0000  0.5000  0.2500 x4  4 Si 2.33
Si  0.0000  0.0000  0.3722 x4  4 Be 2.33, 1 Si 2.49

***

(4)
Entry from Alexandria via LeMat-Bulk: a crystal of Sr2FeN2 relaxed with PBEsol (meta-GGA SCAN).

Output
formation energy from raw total energies = -0.75 eV/atom
E = -84.991 eV per formula unit
M_tot = 12.03 μB per cell

abc: 6.4572 8.5361 8.7567
angles: 89.97 70.20 77.73
Last column: nearest neighbours and their distance in Å.
Space group P-1 (No. 2)
Asymmetric unit:
Sr  0.1074  0.1491  0.3206 x2  4 N 2.57-2.70
Sr  0.1453  0.1367  0.8562 x2  4 N 2.53-2.71
Sr  0.2312  0.4336  0.5632 x2  6 N 2.56-2.74
Sr  0.3717  0.7002  0.2288 x2  4 N 2.60-2.65
Sr  0.3802  0.7008  0.8296 x2  4 N 2.57-2.69
Fe  0.1013  0.4692  0.0916 x2  3 N 1.78-1.84
Fe  0.4137  0.8930  0.5173 x2  3 N 1.76-1.81
Fe  0.5000  0.0000  0.0000 x1  2 N 1.82
N  0.1981  0.4424  0.8676 x2  2 Fe 1.83-1.84
N  0.1996  0.4412  0.2589 x2  1 Fe 1.78
N  0.2374  0.9319  0.0670 x2  1 Fe 1.82
N  0.2933  0.1067  0.5394 x2  2 Fe 1.79-1.81
N  0.3216  0.7123  0.5401 x2  1 Fe 1.76

***

What did the fourth record say?
Entry from Alexandria via LeMat-Bulk: a crystal of Sr2FeN2 relaxed with PBEsol (meta-GGA SCAN).

Output
formation energy from raw total energies = -0.75 eV/atom
E = -84.991 eV per formula unit
M_tot = 12.03 μB per cell

abc: 6.4572 8.5361 8.7567
angles: 89.97 70.20 77.73
Last column: nearest neighbours and their distance in Å.
Space group P-1 (No. 2)
Asymmetric unit:
Sr  0.1074  0.1491  0.3206 x2  4 N 2.57-2.70
Sr  0.1453  0.1367  0.8562 x2  4 N 2.53-2.71
Sr  0.2312  0.4336  0.5632 x2  6 N 2.56-2.74
Sr  0.3717  0.7002  0.2288 x2  4 N 2.60-2.65
Sr  0.3802  0.7008  0.8296 x2  4 N 2.57-2.69
Fe  0.1013  0.4692  0.0916 x2  3 N 1.78-1.84
Fe  0.4137  0.8930  0.5173 x2  3 N 1.76-1.81
Fe  0.5000  0.0000  0.0000 x1  2 N 1.82
N  0.1981  0.4424  0.8676 x2  2 Fe 1.83-1.84
N  0.1996  0.4412  0.2589 x2  1 Fe 1.78
N  0.2374  0.9319  0.0670 x2  1 Fe 1.82
N  0.2933  0.1067  0.5394 x2  2 Fe 1.79-1.81
N  0.3216  0.7123  0.5401 x2  1 Fe 1.76

***

The lowest E belongs to which entry? Pr2CuIr